Entry 1:
## KTb2GaO5 (PBE-GGA)

Data for KTb2GaO5 after structural relaxation.

Lattice parameters (Å, degrees): 7.3188 7.3188 7.3188 126.26 126.26 79.46
Fractional coordinates of all 18 atoms:
K (0.2500, 0.2500, 0.0000)
K (0.7500, 0.7500, 0.0000)
Tb (0.1805, 0.6805, 0.8610)
Tb (0.3195, 0.1805, 0.5000)
Tb (0.6805, 0.8195, 0.5000)
Tb (0.8195, 0.3195, 0.1390)
Ga (0.2500, 0.7500, 0.5000)
Ga (0.7500, 0.2500, 0.5000)
O (0.0000, 0.0000, 0.0000)
O (0.0077, 0.2313, 0.5000)
O (0.2313, 0.7313, 0.2236)
O (0.2687, 0.4923, 0.5000)
O (0.4923, 0.9923, 0.2236)
O (0.5000, 0.5000, 0.0000)
O (0.5077, 0.0077, 0.7764)
O (0.7313, 0.5077, 0.5000)
O (0.7687, 0.2687, 0.7764)
O (0.9923, 0.7687, 0.5000)

Output
Symmetry: I4/mcm
Crystal system: tetragonal
Calculated volume: 246 Å³ per cell
Formation energy without anion corrections: -2.694 eV/atom
Mass density: 6.83 g cm⁻³

---

Entry 2:
## Na2BiPb2O6 (PBE-GGA)

Data for Na2BiPb2O6 after structural relaxation.

Lattice parameters (Å, degrees): 5.9303 5.9303 6.2031 104.42 104.42 113.15
Fractional coordinates of all 11 atoms:
Na (0.1488, 0.8512, 0.0000)
Na (0.8512, 0.1488, 0.0000)
Bi (0.5000, 0.5000, 0.0000)
Pb (0.3188, 0.6812, 0.5000)
Pb (0.6812, 0.3188, 0.5000)
O (0.1186, 0.4761, 0.7333)
O (0.3050, 0.3050, 0.2431)
O (0.4761, 0.1186, 0.7333)
O (0.5239, 0.8814, 0.2667)
O (0.6950, 0.6950, 0.7569)
O (0.8814, 0.5239, 0.2667)

Output
Symmetry: C2/m
Crystal system: monoclinic
Calculated volume: 179 Å³ per cell
Formation energy without anion corrections: -1.131 eV/atom
Mass density: 7.10 g cm⁻³